## Pm2TiAlO6 (PBE-GGA)

Data for a geometry-optimized Pm2TiAlO6 structure.

Unit cell a=3.856 b=5.431 c=5.431 alpha=90.00 beta=90.00 gamma=90.00
Each line ends with the local moment (μB).
Fractional positions:
O: 0.145 0.000 0.000  0.00
O: 0.645 0.243 0.757  0.00
O: 0.645 0.757 0.243  0.00
O: 0.645 0.243 0.243  0.00
O: 0.645 0.757 0.757  0.00
O: 0.145 0.500 0.500  -0.02
Al: 0.645 0.000 0.000  0.00
Pm: 0.144 0.000 0.500  0.06
Pm: 0.144 0.500 0.000  0.06
Ti: 0.645 0.500 0.500  0.57

Results
* electronic total energy: -8.19 eV per atom
* DOS at the Fermi energy: 3.6 states/eV/cell
* raw formation energy: -3.10 eV per atom
* crystal system: tetragonal